(1)
{
  "formula": "TbYTl",
  "functional": "PBE",
  "state": "optimized geometry",
  "ef_mev_per_atom": -153,
  "crystal_system": "trigonal",
  "polymorph_energy_mev_per_atom": 129,
  "lattice_angstrom": [[-3.3511, 1.4646, -0.6065], [-1.3338, -0.9824, 4.9976], [2.2376, 4.5926, -1.2733]],
  "species": ["Tl", "Y", "Tb"],
  "fractional_positions": [[0.6636, 0.6667, 0.3333], [0.3991, 0.3333, 0.6667], [0.9373, 0.0000, 0.0000]]
}

=====

(2)
{
  "formula": "TbY2Tl",
  "functional": "PBE",
  "state": "optimized geometry",
  "ef_mev_per_atom": -42,
  "crystal_system": "cubic",
  "polymorph_energy_mev_per_atom": 159,
  "lattice_angstrom": [[-2.4688, -0.3020, 4.8881], [-2.4372, -4.6597, 1.5581], [2.1993, -3.0406, 3.9997]],
  "species": ["Tl", "Tb", "Y", "Y"],
  "fractional_positions": [[0.5000, 0.5000, 0.5000], [0.0000, 0.0000, 0.0000], [0.7500, 0.7500, 0.7500], [0.2500, 0.2500, 0.2500]]
}

=====

(3)
{
  "formula": "Tb6Y2Tl",
  "functional": "PBE",
  "state": "optimized geometry",
  "ef_mev_per_atom": -42,
  "crystal_system": "tetragonal",
  "lattice_angstrom": [[-2.0159, -2.5411, 3.6280], [8.8021, 1.4620, 5.9149], [-4.1790, 9.0138, 3.9910]],
  "species": ["Tb", "Tb", "Tb", "Tb", "Tb", "Tb", "Tb", "Tb", "Tb", "Tb", "Tb", "Tb", "Y", "Y", "Y", "Y", "Tl", "Tl"],
  "fractional_positions": [[0.0000, 0.9981, 0.1633], [0.0002, 0.6638, 0.8363], [0.5002, 0.8363, 0.3363], [0.4999, 0.1633, 0.0019], [0.5000, 0.5019, 0.6633], [0.9999, 0.3367, 0.5019], [0.0001, 0.6633, 0.4981], [0.4998, 0.1637, 0.6637], [0.5000, 0.4981, 0.3367], [0.0000, 0.0019, 0.8367], [0.9998, 0.3362, 0.1637], [0.5001, 0.8367, 0.9981], [0.0001, 0.6591, 0.1591], [0.9999, 0.3409, 0.8409], [0.4999, 0.1591, 0.3409], [0.5001, 0.8409, 0.6591], [0.0000, 0.0000, 0.5000], [0.5000, 0.5000, 0.0000]]
}

=====

(4)
{
  "formula": "Tb6YTl4",
  "functional": "PBE",
  "state": "optimized geometry",
  "ef_mev_per_atom": -34,
  "crystal_system": "tetragonal",
  "lattice_angstrom": [[8.0686, -0.3450, -0.5075], [-4.0365, 6.9948, 0.5075], [-4.0365, -2.0998, 6.6915]],
  "species": ["Tl", "Tl", "Tl", "Tl", "Tb", "Tb", "Tb", "Tb", "Tb", "Tb", "Y"],
  "fractional_positions": [[0.3502, 0.7482, 0.7482], [0.0000, 0.6020, 0.2518], [0.6498, 0.3980, 0.3980], [0.0000, 0.2518, 0.6020], [0.0000, 0.8970, 0.5229], [0.5000, 0.5000, 0.0000], [0.5000, 0.0000, 0.5000], [0.6259, 0.1030, 0.1030], [0.3741, 0.4771, 0.4771], [0.0000, 0.5229, 0.8970], [0.0000, 0.0000, 0.0000]]
}

=====

(5)
{
  "formula": "Tb5Y4Tl",
  "functional": "PBE",
  "state": "optimized geometry",
  "ef_mev_per_atom": 34,
  "crystal_system": "tetragonal",
  "polymorph_energy_mev_per_atom": 0,
  "lattice_angstrom": [[-2.1853, -0.9897, -3.3618], [3.2919, -1.9383, -1.5693], [-5.3451, -15.6122, 8.0708]],
  "species": ["Tb", "Tb", "Tb", "Tb", "Tb", "Y", "Y", "Y", "Y", "Tl"],
  "fractional_positions": [[0.5000, 0.5000, 0.9106], [0.5000, 0.5000, 0.5000], [0.5000, 0.5000, 0.2947], [0.5000, 0.5000, 0.7053], [0.5000, 0.5000, 0.0894], [0.0000, 0.0000, 0.1943], [0.0000, 0.0000, 0.8057], [0.0000, 0.0000, 0.6024], [0.0000, 0.0000, 0.3976], [0.0000, 0.0000, 0.0000]]
}

=====

(6)
{
  "formula": "Tb2Y3Tl",
  "functional": "PBE",
  "state": "optimized geometry",
  "ef_mev_per_atom": 13,
  "crystal_system": "orthorhombic",
  "polymorph_energy_mev_per_atom": 124,
  "lattice_angstrom": [[5.5993, 0.0000, 0.0000], [0.0000, 10.0706, 0.0000], [0.0000, 0.0000, 6.5660]],
  "species": ["Y", "Y", "Y", "Y", "Y", "Y", "Tb", "Tb", "Tb", "Tb", "Tl", "Tl"],
  "fractional_positions": [[0.5000, 0.1312, 0.2986], [0.0000, 0.3688, 0.7986], [0.5000, 0.5000, 0.5000], [0.5000, 0.8688, 0.7014], [0.0000, 0.6312, 0.2014], [0.0000, 0.0000, 0.0000], [0.5000, 0.1984, 0.7956], [0.0000, 0.3016, 0.2956], [0.0000, 0.6984, 0.7044], [0.5000, 0.8016, 0.2044], [0.5000, 0.5000, 0.0000], [0.0000, 0.0000, 0.5000]]
}

=====

no.,spin magnetization (Bohr magnetons per cell)
1,0.000
2,1.650
3,0.000
4,0.007
5,0.004
6,0.005